Material: Rb2W3O12
Method: DFT, GGA+U
State: optimized geometry

```
Rb2W3O12
1.0
3.621 2.090 6.634
-3.621 2.090 6.634
0.000 -4.181 6.634
Rb W O
2 3 12
Cartesian
0.000 0.000 2.334 Rb
0.000 0.000 17.567 Rb
-1.810 -1.045 6.634 W
-1.810 1.045 13.267 W
0.000 2.090 6.634 W
-1.201 -0.693 4.845 O
0.000 -1.596 7.140 O
-1.382 0.798 7.140 O
1.201 -0.693 4.845 O
0.000 1.387 4.845 O
-1.382 -0.798 12.761 O
1.382 0.798 7.140 O
0.000 -1.387 15.056 O
-1.201 0.693 15.056 O
1.382 -0.798 12.761 O
0.000 1.596 12.761 O
1.201 0.693 15.056 O
```

Output
As for the magnetization: 4.06 Bohr magnetons per cell. Its space group is R-3m. Its calculated total energy is -6.366 eV per atom.